Arrangement a

Compound: GaN2ClF
Source: Alexandria
Functional: PBE-GGA
Structure: relaxed

## Properties
Total moment: 3.31 μB/f.u.
Density: 3.80 g cm⁻³

abc: 4.151 4.151 3.865
angles: 90.00 90.00 90.00
Atoms (fractional coordinates):
Ga  0.000  0.000  0.000
N  0.000  0.500  0.000
N  0.500  0.000  0.000
Cl  0.500  0.500  0.500
F  0.000  0.000  0.500

Arrangement b

Compound: GaN2ClF
Source: Alexandria
Functional: PBE-GGA
Structure: relaxed

## Properties
Total moment: 5.00 μB/f.u.
Density: 3.19 g cm⁻³

abc: 4.006 4.006 4.937
angles: 90.00 90.00 90.00
Atoms (fractional coordinates):
Ga  0.000  0.000  0.000
N  0.000  0.500  0.000
N  0.500  0.000  0.000
Cl  0.000  0.000  0.500
F  0.500  0.500  0.500

Arrangement c

Compound: GaN2ClF
Source: Alexandria
Functional: PBE-GGA
Structure: relaxed

## Properties
Total moment: 0.68 μB/f.u.
Density: 3.34 g cm⁻³

abc: 3.633 3.633 5.737
angles: 90.00 90.00 90.00
Atoms (fractional coordinates):
Ga  0.000  0.000  0.000
N  0.000  0.500  0.500
N  0.500  0.000  0.500
Cl  0.500  0.500  0.500
F  0.500  0.500  0.000

Which of them is the least stable? Correct choice: arrangement c.

Arrangement a

Compound: GaNClF2
Source: Alexandria
Functional: PBE-GGA
Structure: relaxed

## Properties
Total moment: 1.00 μB/f.u.
Density: 4.10 g cm⁻³

abc: 3.779 3.779 4.453
angles: 90.00 90.00 90.00
Atoms (fractional coordinates):
Ga  0.000  0.000  0.000
N  0.000  0.000  0.500
Cl  0.500  0.500  0.500
F  0.000  0.500  0.000
F  0.500  0.000  0.000

Arrangement b

Compound: GaNClF2
Source: Alexandria
Functional: PBE-GGA
Structure: relaxed

## Properties
Total moment: 0.00 μB/f.u.
Density: 3.29 g cm⁻³

abc: 4.856 4.856 3.367
angles: 90.00 90.00 90.00
Atoms (fractional coordinates):
Ga  0.000  0.000  0.000
N  0.500  0.500  0.000
Cl  0.500  0.500  0.500
F  0.000  0.500  0.500
F  0.500  0.000  0.500

Which of them is the least stable? Correct choice: arrangement b.